# 1
The following is a PBE calculation of a geometry-optimized Tc2MoAs structure, from Alexandria via LeMat-Bulk.

total magnetization	0.0	μB/f.u.
formation energy from the elements	-10	meV/atom

Unit cell a=3.076 b=3.076 c=6.309 alpha=90.00 beta=90.00 gamma=90.00
Fractional coordinates of all 4 atoms:
As: 0.500 0.500 0.250
Mo: 0.500 0.500 0.750
Tc: 0.000 0.000 0.006
Tc: 0.000 0.000 0.494

# 2
The following is a PBE calculation of a geometry-optimized Zr2PaSb structure, from Alexandria via LeMat-Bulk.

energy relative to the elements, uncorrected	-351	meV per atom
total magnetization	0.0	μB/f.u.
distance to the lowest polymorph of the same formula	0.000	eV/atom

Unit cell a=3.997 b=4.783 c=4.783 alpha=90.00 beta=90.00 gamma=90.00
Fractional coordinates of all 4 atoms:
Sb: 0.500 0.000 0.000
Pa: 0.500 0.500 0.500
Zr: 0.000 0.000 0.500
Zr: 0.000 0.500 0.000

Summary of volume in Å³/f.u.
59.7; 91.4
(order as listed above)